Entry 1:
DFT (SCAN) results for KLi3Ir at its PBEsol-relaxed geometry.

Lattice parameters (Å, degrees): 4.8463 4.8463 4.8463 90.00 90.00 90.00
Closest atoms and distances in Å follow each position.
Positions (direct):
K: 0.0000 0.0000 0.0000  12 Li 3.43
Li: 0.0000 0.5000 0.5000  2 Ir 2.42
Li: 0.5000 0.0000 0.5000  2 Ir 2.42
Li: 0.5000 0.5000 0.0000  2 Ir 2.42
Ir: 0.5000 0.5000 0.5000  6 Li 2.42

Results
density of states at the Fermi level: 2.03 states/eV/cell
theoretical density: 3.7 Mg/m³
final energy: -17.093 eV/atom

=====

Entry 2:
DFT (SCAN) results for TaTl2Cl at its PBEsol-relaxed geometry.

Lattice parameters (Å, degrees): 3.0773 5.3026 5.3560 90.00 90.00 90.00
Closest atoms and distances in Å follow each position.
Positions (direct):
Ta: 0.0000 0.0000 0.0000  4 Tl 3.07, 2 Ta 3.08, 4 Cl 3.09
Tl: 0.0000 0.5000 0.5000  4 Cl 3.07, 6 Tl 3.08-3.09
Tl: 0.5000 0.5000 0.0000  4 Ta 3.07, 6 Tl 3.08-3.09
Cl: 0.5000 0.0000 0.5000  4 Tl 3.07, 2 Cl 3.08, 4 Ta 3.09

Results
density of states at the Fermi level: 1.86 states/eV/cell
offset from the most stable computed form: 503.2 meV per atom
theoretical density: 11.9 Mg/m³
final energy: -54.329 eV/atom
formation energy from raw total energies: 1.96 eV per formula unit

=====

Entry 3:
DFT (SCAN) results for LiZr2Au at its PBEsol-relaxed geometry.

Lattice parameters (Å, degrees): 4.1971 4.1971 4.1624 90.00 90.00 90.00
Closest atoms and distances in Å follow each position.
Positions (direct):
Li: 0.0000 0.0000 0.0000  8 Zr 2.96, 4 Au 2.97
Zr: 0.0000 0.5000 0.5000  4 Li 2.96, 4 Au 2.96, 4 Zr 2.97
Zr: 0.5000 0.0000 0.5000  4 Li 2.96, 4 Au 2.96, 4 Zr 2.97
Au: 0.5000 0.5000 0.0000  8 Zr 2.96, 4 Li 2.97

Results
density of states at the Fermi level: 3.76 states/eV/cell
theoretical density: 8.7 Mg/m³
final energy: -33.576 eV/atom

=====

Entry 4:
DFT (SCAN) results for Re2SiCl at its PBEsol-relaxed geometry.

Lattice parameters (Å, degrees): 6.1848 6.1848 6.1848 90.00 90.00 90.00
Closest atoms and distances in Å follow each position.
Positions (direct):
Re: 0.0000 0.0000 0.0000  4 Re 2.68, 4 Cl 2.68
Re: 0.0000 0.5000 0.5000  4 Re 2.68, 4 Cl 2.68
Re: 0.2500 0.2500 0.2500  4 Re 2.68, 4 Si 2.68
Re: 0.2500 0.7500 0.7500  4 Re 2.68, 4 Si 2.68
Re: 0.5000 0.0000 0.5000  4 Re 2.68, 4 Cl 2.68
Re: 0.5000 0.5000 0.0000  4 Re 2.68, 4 Cl 2.68
Re: 0.7500 0.2500 0.7500  4 Re 2.68, 4 Si 2.68
Re: 0.7500 0.7500 0.2500  4 Re 2.68, 4 Si 2.68
Si: 0.0000 0.0000 0.5000  4 Cl 2.68, 4 Re 2.68
Si: 0.0000 0.5000 0.0000  4 Cl 2.68, 4 Re 2.68
Si: 0.5000 0.0000 0.0000  4 Cl 2.68, 4 Re 2.68
Si: 0.5000 0.5000 0.5000  4 Cl 2.68, 4 Re 2.68
Cl: 0.2500 0.2500 0.7500  4 Re 2.68, 4 Si 2.68
Cl: 0.2500 0.7500 0.2500  4 Re 2.68, 4 Si 2.68
Cl: 0.7500 0.2500 0.2500  4 Re 2.68, 4 Si 2.68
Cl: 0.7500 0.7500 0.7500  4 Re 2.68, 4 Si 2.68

Results
density of states at the Fermi level: 15.75 states/eV/cell
offset from the most stable computed form: 562.2 meV per atom
theoretical density: 12.2 Mg/m³
final energy: -38.888 eV/atom
formation energy from raw total energies: 4.64 eV per formula unit

=====

Entry 5:
DFT (SCAN) results for RbAs2BrCl at its PBEsol-relaxed geometry.

Lattice parameters (Å, degrees): 7.1531 7.1531 6.1514 90.00 90.00 90.00
Closest atoms and distances in Å follow each position.
Positions (direct):
Rb: 0.0000 0.0000 0.0000  2 Br 3.08
As: 0.0000 0.5000 0.0000  2 Rb 3.58
As: 0.5000 0.0000 0.0000  2 Rb 3.58
Br: 0.0000 0.0000 0.5000  2 Rb 3.08
Cl: 0.5000 0.5000 0.5000  8 As 4.72, 4 Br 5.06

Results
density of states at the Fermi level: 17.07 states/eV/cell
theoretical density: 1.9 Mg/m³
final energy: -16.869 eV/atom
formation energy from raw total energies: 4.21 eV per formula unit

=====

Entry 6:
DFT (SCAN) results for BaGe5 at its PBEsol-relaxed geometry.

Lattice parameters (Å, degrees): 8.3237 8.3237 8.3237 146.07 120.46 70.33
Closest atoms and distances in Å follow each position.
Positions (direct):
Ba: 0.2832 0.0332 0.2500  15 Ge 3.32-3.70
Ba: 0.7168 0.9668 0.7500  15 Ge 3.32-3.70
Ge: 0.0933 0.6204 0.4729  4 Ge 2.60-2.67
Ge: 0.0973 0.1918 0.9055  4 Ge 2.57-2.67
Ge: 0.2137 0.8082 0.4055  4 Ge 2.57-2.67
Ge: 0.3526 0.3796 0.9729  4 Ge 2.60-2.67
Ge: 0.4611 0.7111 0.7500  4 Ge 2.60-2.65
Ge: 0.5389 0.2889 0.2500  4 Ge 2.60-2.65
Ge: 0.6474 0.6204 0.0271  4 Ge 2.60-2.67
Ge: 0.7863 0.1918 0.5945  4 Ge 2.57-2.67
Ge: 0.9027 0.8082 0.0945  4 Ge 2.57-2.67
Ge: 0.9067 0.3796 0.5271  4 Ge 2.60-2.67

Results
density of states at the Fermi level: 2.66 states/eV/cell
theoretical density: 6.1 Mg/m³
final energy: -22.703 eV/atom

=====

Entry 7:
DFT (SCAN) results for KCr2Pb at its PBEsol-relaxed geometry.

Lattice parameters (Å, degrees): 3.2692 4.0029 8.1643 90.00 90.00 90.00
Closest atoms and distances in Å follow each position.
Positions (direct):
K: 0.0000 0.0000 0.0000  2 K 3.27
Cr: 0.5000 0.5000 0.3225  1 Cr 2.90, 4 Pb 2.96
Cr: 0.5000 0.5000 0.6775  1 Cr 2.90, 4 Pb 2.96
Pb: 0.0000 0.0000 0.5000  8 Cr 2.96, 2 Pb 3.27

Results
density of states at the Fermi level: 1.85 states/eV/cell
theoretical density: 5.4 Mg/m³
final energy: -29.687 eV/atom

=====

Entry 8:
DFT (SCAN) results for BaMn2Au at its PBEsol-relaxed geometry.

Lattice parameters (Å, degrees): 3.3938 3.3938 7.6105 90.00 90.00 90.00
Closest atoms and distances in Å follow each position.
Positions (direct):
Ba: 0.0000 0.0000 0.0000  4 Ba 3.39, 8 Mn 3.46
Mn: 0.5000 0.5000 0.3268  1 Mn 2.64, 4 Au 2.74
Mn: 0.5000 0.5000 0.6732  1 Mn 2.64, 4 Au 2.74
Au: 0.0000 0.0000 0.5000  8 Mn 2.74

Results
density of states at the Fermi level: 2.72 states/eV/cell
theoretical density: 8.4 Mg/m³
final energy: -36.326 eV/atom

=====

Entry 9:
DFT (SCAN) results for ReSi2W at its PBEsol-relaxed geometry.

Lattice parameters (Å, degrees): 3.1155 3.1155 5.5797 90.00 90.00 90.00
Closest atoms and distances in Å follow each position.
Positions (direct):
Re: 0.0000 0.0000 0.0000  5 Si 2.50-2.57
Si: 0.0000 0.0000 0.4605  4 W 2.53, 1 Re 2.57, 4 Si 2.60
Si: 0.5000 0.5000 0.2130  4 Re 2.50, 4 Si 2.60, 1 W 2.62
W: 0.5000 0.5000 0.6824  5 Si 2.53-2.62, 4 Re 2.83

Results
density of states at the Fermi level: 1.16 states/eV/cell
offset from the most stable computed form: 0.0 meV per atom
theoretical density: 13.1 Mg/m³
final energy: -40.480 eV/atom
formation energy from raw total energies: -1.10 eV per formula unit

=====

Entry 10:
DFT (SCAN) results for TlB6H6 at its PBEsol-relaxed geometry.

Lattice parameters (Å, degrees): 7.4102 7.4102 7.4102 60.00 60.00 60.00
Closest atoms and distances in Å follow each position.
Positions (direct):
Tl: 0.2500 0.2500 0.2500  12 H 2.85
Tl: 0.7500 0.7500 0.7500  12 H 2.85
B: 0.0531 0.2212 0.7788  1 H 1.21
B: 0.0531 0.7788 0.9469  1 H 1.21
B: 0.0531 0.9469 0.2212  1 H 1.21
B: 0.2212 0.0531 0.9469  1 H 1.21
B: 0.2212 0.7788 0.0531  1 H 1.21
B: 0.2212 0.9469 0.7788  1 H 1.21
B: 0.7788 0.0531 0.2212  1 H 1.21
B: 0.7788 0.2212 0.9469  1 H 1.21
B: 0.7788 0.9469 0.0531  1 H 1.21
B: 0.9469 0.0531 0.7788  1 H 1.21
B: 0.9469 0.2212 0.0531  1 H 1.21
B: 0.9469 0.7788 0.2212  1 H 1.21
H: 0.0932 0.3798 0.6202  1 B 1.21
H: 0.0932 0.6202 0.9068  1 B 1.21
H: 0.0932 0.9068 0.3798  1 B 1.21
H: 0.3798 0.0932 0.9068  1 B 1.21
H: 0.3798 0.6202 0.0932  1 B 1.21
H: 0.3798 0.9068 0.6202  1 B 1.21
H: 0.6202 0.0932 0.3798  1 B 1.21
H: 0.6202 0.3798 0.9068  1 B 1.21
H: 0.6202 0.9068 0.0932  1 B 1.21
H: 0.9068 0.0932 0.6202  1 B 1.21
H: 0.9068 0.3798 0.0932  1 B 1.21
H: 0.9068 0.6202 0.3798  1 B 1.21

Results
density of states at the Fermi level: 0.00 states/eV/cell
theoretical density: 3.2 Mg/m³
final energy: -10.839 eV/atom

=====

Entry 11:
DFT (SCAN) results for GaPb2S at its PBEsol-relaxed geometry.

Lattice parameters (Å, degrees): 7.1845 7.1845 7.1845 90.00 90.00 90.00
Closest atoms and distances in Å follow each position.
Positions (direct):
Ga: 0.0000 0.0000 0.0000  8 Pb 3.11
Ga: 0.0000 0.5000 0.5000  8 Pb 3.11
Ga: 0.5000 0.0000 0.5000  8 Pb 3.11
Ga: 0.5000 0.5000 0.0000  8 Pb 3.11
Pb: 0.2500 0.2500 0.2500  4 S 3.11, 4 Ga 3.11
Pb: 0.2500 0.2500 0.7500  4 S 3.11, 4 Ga 3.11
Pb: 0.2500 0.7500 0.2500  4 S 3.11, 4 Ga 3.11
Pb: 0.2500 0.7500 0.7500  4 S 3.11, 4 Ga 3.11
Pb: 0.7500 0.2500 0.2500  4 S 3.11, 4 Ga 3.11
Pb: 0.7500 0.2500 0.7500  4 S 3.11, 4 Ga 3.11
Pb: 0.7500 0.7500 0.2500  4 S 3.11, 4 Ga 3.11
Pb: 0.7500 0.7500 0.7500  4 S 3.11, 4 Ga 3.11
S: 0.0000 0.0000 0.5000  8 Pb 3.11
S: 0.0000 0.5000 0.0000  8 Pb 3.11
S: 0.5000 0.0000 0.0000  8 Pb 3.11
S: 0.5000 0.5000 0.5000  8 Pb 3.11

Results
density of states at the Fermi level: 9.45 states/eV/cell
theoretical density: 9.2 Mg/m³
final energy: -44.242 eV/atom
formation energy from raw total energies: 0.57 eV per formula unit

=====

Entry 12:
DFT (SCAN) results for Be2IrCl at its PBEsol-relaxed geometry.

Lattice parameters (Å, degrees): 7.1206 2.9487 6.2692 90.00 113.55 90.00
Closest atoms and distances in Å follow each position.
Positions (direct):
Be: 0.0000 0.0000 0.0000  1 Cl 1.95, 1 Be 2.18
Be: 0.1663 0.5000 0.8383  3 Ir 2.16-2.23, 3 Be 2.18-2.36
Be: 0.5000 0.5000 0.0000  1 Cl 1.95, 1 Be 2.18
Be: 0.6663 0.0000 0.8383  3 Ir 2.16-2.23, 3 Be 2.18-2.36
Ir: 0.3371 0.0000 0.7172  5 Be 2.16-2.24
Ir: 0.8371 0.5000 0.7172  5 Be 2.16-2.24
Cl: 0.2404 0.0000 0.2946  1 Be 1.95
Cl: 0.7404 0.5000 0.2946  1 Be 1.95

Results
density of states at the Fermi level: 1.32 states/eV/cell
offset from the most stable computed form: 0.0 meV per atom
theoretical density: 6.8 Mg/m³
final energy: -22.265 eV/atom
formation energy from raw total energies: -1.28 eV per formula unit